# Ta2TcOs

A relaxed structure of Ta2TcOs (PBE, the Alexandria database).

POSCAR file:
```
Ta2TcOs
1.0
3.185 0.000 0.000
0.000 3.185 0.000
0.000 0.000 6.374
Os Tc Ta
1 1 2
Cartesian
1.592 1.592 4.780
1.592 1.592 1.593
0.000 0.000 0.032
0.000 0.000 3.155
```


# KIn2Tc

A relaxed structure of KIn2Tc (PBE, the Alexandria database).

POSCAR file:
```
KIn2Tc
1.0
5.220 0.000 0.000
2.610 4.521 0.000
2.610 1.507 4.262
In K Tc
2 1 1
Cartesian
0.000 0.000 0.000
2.610 1.507 1.066
5.220 3.014 2.131
7.830 4.521 3.197
```


# MgAlGe2

A relaxed structure of MgAlGe2 (PBE, the Alexandria database).

POSCAR file:
```
MgAlGe2
1.0
-2.127 -3.330 2.601
-4.518 0.537 1.294
-3.352 -2.725 -1.928
Mg Ge Al
1 2 1
Cartesian
0.000 0.000 0.000
-2.499 -1.379 0.492
-7.497 -4.138 1.475
-4.998 -2.759 0.983
```


# K3In4Bi2

A relaxed structure of K3In4Bi2 (PBE, the Alexandria database).

POSCAR file:
```
K3In4Bi2
1.0
-3.152 -0.477 3.883
-0.248 -6.618 2.237
6.442 -2.011 8.233
K In Bi
3 4 2
Cartesian
2.926 -6.444 8.085
0.000 0.000 0.000
0.116 -2.663 6.267
-0.257 -3.131 2.657
3.299 -5.976 11.695
1.039 -4.234 10.074
2.003 -4.873 4.278
0.191 -6.860 5.813
2.851 -2.246 8.539
```


# TcAsN2O

A relaxed structure of TcAsN2O (PBE, the Alexandria database).

POSCAR file:
```
TcAsN2O
1.0
-1.621 2.919 -2.192
0.284 -2.290 -3.260
-3.417 -1.388 0.677
As Tc O N
1 1 1 2
Cartesian
-2.377 -0.379 -2.387
0.000 0.000 0.000
-1.708 -0.694 0.339
0.142 -1.145 -1.630
-0.810 1.460 -1.096
```


# LaVN3

A relaxed structure of LaVN3 (PBE, the Alexandria database).

POSCAR file:
```
LaVN3
1.0
-2.915 1.398 -2.052
3.880 -1.613 -6.464
-3.063 -4.442 2.381
V La N
2 2 6
Cartesian
-0.145 -1.399 -2.484
-1.131 -1.902 -5.503
-3.984 -1.793 -1.713
-0.790 -5.245 -4.386
-0.152 -1.224 -6.754
-1.385 0.014 -3.890
-1.521 -1.501 -1.331
-0.088 -2.706 -3.805
-3.381 -4.087 -0.763
-1.366 -3.549 -6.096
```


# LiAg2F3

A relaxed structure of LiAg2F3 (PBE, the Alexandria database).

POSCAR file:
```
LiAg2F3
1.0
-0.105 3.295 0.112
-0.995 0.100 -3.899
-5.643 -1.948 3.467
Li Ag F
1 2 3
Cartesian
-0.286 1.671 -0.858
-4.393 1.523 -0.353
-2.080 -0.103 1.092
-0.980 0.099 -3.839
-4.364 -0.191 1.533
-2.176 1.617 -1.056
```


# Th8Ge3As4Se

A relaxed structure of Th8Ge3As4Se (PBE, the Alexandria database).

POSCAR file:
```
Th8Ge3As4Se
1.0
8.542 0.000 0.000
0.000 8.540 -0.007
-4.271 -4.267 6.043
Th Ge As Se
8 3 4 1
Cartesian
-2.107 2.151 6.026
0.000 4.256 3.045
0.000 0.015 3.029
2.107 2.151 6.026
2.164 2.122 0.009
4.271 4.259 3.007
4.271 0.017 2.990
6.378 2.122 0.009
4.271 4.270 -0.004
2.135 2.137 3.018
-2.135 2.137 3.018
4.271 0.000 0.000
2.135 -2.133 3.021
0.000 0.000 0.000
-2.135 -2.133 3.021
0.000 4.270 -0.004
```


Magnetic moment for every record listed, in sequence, given in μB per formula unit: 0.000; 2.893; 0.000; 0.000; 0.001; 0.000; 0.000; 0.000.
Calculated volume for every record listed, in sequence, given in A^3/atom: 16.162; 25.147; 18.708; 35.243; 11.964; 15.515; 14.150; 27.534.
VASP energy for every record listed, in sequence, given in eV for the cell shown: -46.85; -13.36; -14.25; -23.83; -33.81; -88.12; -22.78; -114.62.